Record 1
## NbCu2Ir (PBE)

Data for an optimized crystal structure of NbCu2Ir.

Cell and atoms, written as extended XYZ:
```
4
Lattice="-3.972 1.657 0.521 -1.988 1.950 -3.322 -3.405 -1.893 -1.902" Properties=species:S:1:pos:R:3 pbc="T T T"
Cu 0.000 0.000 0.000
Cu -2.341 0.429 -1.176
Ir -4.682 0.857 -2.352
Nb -7.023 1.286 -3.527
```

Output
**ΔH_f (0 K)**: -0.0570 eV/atom
**E**: -26.61 eV/f.u.
**Magnetic moment**: 0.003 μB/cell
**Symmetry**: F-43m
**Calculated volume**: 14.40 Å³ per atom

***

Record 2
## NbCuIrPb (PBE)

Data for an optimized crystal structure of NbCuIrPb.

Cell and atoms, written as extended XYZ:
```
4
Lattice="-3.696 1.814 2.065 -1.583 4.120 -1.316 -3.990 0.313 -2.280" Properties=species:S:1:pos:R:3 pbc="T T T"
Cu -6.952 4.685 -1.149
Ir -2.317 1.562 -0.383
Nb -4.635 3.123 -0.766
Pb 0.000 0.000 0.000
```

Output
**E**: -25.52 eV/f.u.
**Magnetic moment**: 0.308 μB/cell
**Symmetry**: F-43m
**Offset from the most stable computed form**: 0 meV/atom
**Calculated volume**: 17.27 Å³ per atom

***

Record 3
## NbCuIrPb (PBE)

Data for an optimized crystal structure of NbCuIrPb.

Cell and atoms, written as extended XYZ:
```
4
Lattice="2.853 -3.597 0.392 3.159 -0.080 3.353 -0.457 -2.930 3.527" Properties=species:S:1:pos:R:3 pbc="T T T"
Cu 4.166 -4.955 5.454
Ir 2.777 -3.304 3.636
Nb 1.389 -1.652 1.818
Pb 0.000 0.000 0.000
```

Output
**E**: -25.35 eV/f.u.
**Magnetic moment**: 0.003 μB/cell
**Symmetry**: F-43m
**Offset from the most stable computed form**: 44 meV/atom
**Calculated volume**: 17.29 Å³ per atom

***

Record 4
## NbCuSbIr (PBE)

Data for an optimized crystal structure of NbCuSbIr.

Cell and atoms, written as extended XYZ:
```
4
Lattice="2.917 -2.047 2.859 2.544 2.507 2.849 -0.862 -0.061 4.486" Properties=species:S:1:pos:R:3 pbc="T T T"
Cu 3.450 0.300 7.646
Ir 1.150 0.100 2.549
Nb 2.300 0.200 5.097
Sb 0.000 0.000 0.000
```

Output
**E**: -26.47 eV/f.u.
**Magnetic moment**: 0.035 μB/cell
**Symmetry**: F-43m
**Calculated volume**: 16.86 Å³ per atom

***

Record 5
## NbCuSbIr (PBE)

Data for an optimized crystal structure of NbCuSbIr.

Cell and atoms, written as extended XYZ:
```
4
Lattice="-4.384 0.984 0.805 -1.588 4.196 -0.840 -2.859 0.702 -3.488" Properties=species:S:1:pos:R:3 pbc="T T T"
Cu -6.623 4.411 -2.643
Ir -4.416 2.941 -1.762
Nb -2.208 1.470 -0.881
Sb 0.000 0.000 0.000
```

Output
**E**: -26.48 eV/f.u.
**Magnetic moment**: 0.006 μB/cell
**Symmetry**: F-43m
**Calculated volume**: 16.81 Å³ per atom

***

Record 6
## NbTlCuIr (PBE)

Data for an optimized crystal structure of NbTlCuIr.

Cell and atoms, written as extended XYZ:
```
4
Lattice="0.000 3.224 3.224 3.224 0.000 3.224 3.224 3.224 0.000" Properties=species:S:1:pos:R:3 pbc="T T T"
Cu 4.836 4.836 4.836
Ir 1.612 1.612 1.612
Nb 3.224 3.224 3.224
Tl 0.000 0.000 0.000
```

Output
**E**: -24.58 eV/f.u.
**Magnetic moment**: 0.000 μB/cell
**Symmetry**: F-43m
**Offset from the most stable computed form**: 0 meV/atom
**Calculated volume**: 16.75 Å³ per atom

***

- Which of these has the lowest magnetic moment?
  NbTlCuIr